DFT (PBE-GGA) results for a relaxed structure of PmCdAs2O8.

Summary:
magnetization	2.19	μB per cell
energy relative to the elements, uncorrected	-1.62	eV per atom

Unit cell a=5.116 b=5.116 c=11.717 alpha=90.00 beta=90.00 gamma=90.00
Space group I-4 (No. 82)
Inequivalent atoms, fractional coordinates:
Pm1 0.000 0.000 0.000 [2 per cell]
Cd1 0.000 0.500 0.750 [2 per cell]
As1 0.000 0.000 0.500 [2 per cell]
As2 0.000 0.500 0.250 [2 per cell]
O1 0.142 0.750 0.171 [8 per cell]
O2 0.144 0.249 0.577 [8 per cell]